First-principles (SCAN) data for ZrCd3Co at its PBEsol-relaxed geometry, as listed in Alexandria via LeMat-Bulk.

Output
Fermi-level density of states in states/eV per atom: 0.427
Calculated formation energy in eV/atom: 0.53
Relative energy among the computed polymorphs in meV per atom: 0
Spin magnetization in Bohr magnetons per cell: 2.61

Cell lengths 4.732, 4.732, 4.732 Å; angles 90.00, 90.00, 90.00 degrees
Fractional coordinates of all 5 atoms:
Cd  0.500  0.000  0.000
Cd  0.000  0.000  0.500
Cd  0.000  0.500  0.000
Co  0.000  0.000  0.000
Zr  0.500  0.500  0.500